# 1
{
  "formula": "Tb8Te3Se3S",
  "functional": "GGA-PBE",
  "state": "relaxed",
  "sg": "R-3m",
  "e_tot_ev_per_atom": -5.54,
  "cell": [[8.3196, 0.0000, 0.0000], [-4.1598, 7.2054, -0.0249], [0.0000, -4.7783, 6.9596]],
  "species": ["Tb", "Tb", "Tb", "Tb", "Tb", "Tb", "Tb", "Tb", "Te", "Te", "Te", "Se", "Se", "Se", "S"],
  "fractional_positions": [[0.2621, 0.5243, 0.2865], [0.7379, 0.4757, 0.7135], [0.7692, 0.5385, 0.2864], [0.2308, 0.4615, 0.7136], [0.7693, 0.0172, 0.2865], [0.2307, 0.9828, 0.7135], [0.2479, 0.0172, 0.2865], [0.7521, 0.9828, 0.7135], [0.0000, 0.0000, 0.0000], [0.0000, 0.5000, 0.0000], [0.5000, 0.5000, 0.0000], [0.5000, 0.0000, 0.5000], [0.5000, 0.5000, 0.5000], [0.0000, 0.5000, 0.5000], [0.0000, 0.0000, 0.5000]]
}

=====

# 2
{
  "formula": "Tb8Te4Se3S",
  "functional": "GGA-PBE",
  "state": "relaxed",
  "sg": "R-3m",
  "e_tot_ev_per_atom": -5.60,
  "cell": [[8.3920, 0.0000, 0.0000], [0.0000, 8.4902, 0.0640], [-4.1960, -4.1918, 5.9370]],
  "species": ["Tb", "Tb", "Tb", "Tb", "Tb", "Tb", "Tb", "Tb", "Te", "Te", "Te", "Te", "Se", "Se", "Se", "S"],
  "fractional_positions": [[0.2292, 0.7100, 0.9808], [0.2292, 0.7100, 0.4584], [0.2616, 0.2847, 0.5231], [0.7516, 0.7100, 0.9808], [0.2484, 0.2900, 0.0192], [0.7384, 0.7153, 0.4769], [0.7708, 0.2900, 0.5416], [0.7708, 0.2900, 0.0192], [0.5000, 0.0000, 0.0000], [0.5000, 0.0000, 0.5000], [0.0000, 0.0000, 0.0000], [0.0000, 0.0000, 0.5000], [0.5000, 0.5000, 0.0000], [0.5000, 0.5000, 0.5000], [0.0000, 0.5000, 0.5000], [0.0000, 0.5000, 0.0000]]
}

=====

# 3
{
  "formula": "Tb6TeSe2S3",
  "functional": "GGA-PBE",
  "state": "relaxed",
  "sg": "C2/m",
  "e_tot_ev_per_atom": -6.01,
  "cell": [[-0.3778, 1.9532, -3.5058], [-8.0092, -1.7829, -0.1301], [0.6444, 6.8067, 6.0403]],
  "species": ["Tb", "Tb", "Tb", "Tb", "Tb", "Tb", "Te", "Se", "Se", "S", "S", "S"],
  "fractional_positions": [[0.3222, 0.9315, 0.6445], [0.6609, 0.5973, 0.3217], [0.6778, 0.0685, 0.3555], [0.9943, 0.2787, 0.9886], [0.0057, 0.7213, 0.0114], [0.3391, 0.4027, 0.6783], [0.5000, 0.0000, 0.0000], [0.8325, 0.6671, 0.6651], [0.1675, 0.3329, 0.3349], [0.5000, 0.5000, 0.0000], [0.8354, 0.1698, 0.6709], [0.1646, 0.8302, 0.3291]]
}

=====

# 4
{
  "formula": "Tb6Te3SeS2",
  "functional": "GGA-PBE",
  "state": "relaxed",
  "sg": "C2/m",
  "e_tot_ev_per_atom": -5.72,
  "cell": [[-2.8364, 5.5318, 3.5865], [-3.0550, -2.2912, -6.0766], [-2.0028, -5.4862, 4.4867]],
  "species": ["Tb", "Tb", "Tb", "Tb", "Tb", "Tb", "Te", "Te", "Te", "Se", "S", "S"],
  "fractional_positions": [[0.9308, 0.5845, 0.7924], [0.7217, 0.7217, 0.2043], [0.0692, 0.4155, 0.2076], [0.5845, 0.9308, 0.7924], [0.2783, 0.2783, 0.7957], [0.4155, 0.0692, 0.2076], [0.1628, 0.8372, 0.5000], [0.8372, 0.1628, 0.5000], [0.5000, 0.5000, 0.5000], [0.0000, 0.0000, 0.0000], [0.3328, 0.6672, 0.0000], [0.6672, 0.3328, 0.0000]]
}

=====

# 5
{
  "formula": "Tb8Te4SeS3",
  "functional": "GGA-PBE",
  "state": "relaxed",
  "sg": "R-3m",
  "e_tot_ev_per_atom": -5.74,
  "cell": [[8.2748, 0.0000, 0.0000], [0.0000, 8.4354, 0.1102], [-4.1374, -4.1324, 5.8524]],
  "species": ["Tb", "Tb", "Tb", "Tb", "Tb", "Tb", "Tb", "Tb", "Te", "Te", "Te", "Te", "Se", "S", "S", "S"],
  "fractional_positions": [[0.2403, 0.7058, 0.9656], [0.2402, 0.7058, 0.4805], [0.2656, 0.2969, 0.5313], [0.7254, 0.7058, 0.9656], [0.2746, 0.2942, 0.0344], [0.7344, 0.7031, 0.4687], [0.7598, 0.2942, 0.5195], [0.7597, 0.2942, 0.0344], [0.5000, 0.0000, 0.0000], [0.5000, 0.0000, 0.5000], [0.0000, 0.0000, 0.0000], [0.0000, 0.0000, 0.5000], [0.0000, 0.5000, 0.0000], [0.5000, 0.5000, 0.0000], [0.5000, 0.5000, 0.5000], [0.0000, 0.5000, 0.5000]]
}

=====

# 6
{
  "formula": "Tb6Te3Se2S",
  "functional": "GGA-PBE",
  "state": "relaxed",
  "sg": "C2/m",
  "e_tot_ev_per_atom": -5.63,
  "cell": [[-0.5255, -6.8663, 2.2570], [2.0991, 1.4445, -6.7841], [6.1300, 1.9838, 3.6031]],
  "species": ["Tb", "Tb", "Tb", "Tb", "Tb", "Tb", "Te", "Te", "Te", "Se", "Se", "S"],
  "fractional_positions": [[0.9305, 0.6162, 0.7904], [0.7575, 0.7575, 0.2148], [0.0695, 0.3838, 0.2096], [0.6162, 0.9305, 0.7904], [0.2425, 0.2425, 0.7852], [0.3838, 0.0695, 0.2096], [0.1720, 0.8280, 0.5000], [0.8280, 0.1720, 0.5000], [0.5000, 0.5000, 0.5000], [0.3341, 0.6659, 0.0000], [0.6659, 0.3341, 0.0000], [0.0000, 0.0000, 0.0000]]
}

=====

The records above give, respectively, energy relative to the elements, uncorrected values of -2127; -2455; -2106; -1901; -2546; -1858 kJ/mol of formula units.
The records above give, respectively, total magnetic moment values of 0.00; 0.00; 0.00; 0.00; 0.00; 0.00 μB/cell.